Here is PmBPtO5 after structural relaxation from Alexandria. Energies are from PBE.

**D(E_F)**: 0.04 states/eV/atom
**Volume**: 88.87 Å³/f.u.
**Crystal system**: monoclinic
**E_tot**: -7.25 eV per atom
**Total magnetic moment**: 0.00 μB per atom

Cell: 5.4315 5.4315 6.8966 Å, 103.29 103.29 108.25°
Closest atoms and distances in Å follow each position.
Element x y z (fractional)
Pm  0.3556  0.6444  0.2500  5 O 2.23-2.38
Pm  0.6444  0.3556  0.7500  5 O 2.23-2.38
B  0.6951  0.3049  0.2500  4 O 1.48-1.56
B  0.3049  0.6951  0.7500  4 O 1.48-1.56
Pt  0.0000  0.0000  0.5000  6 O 1.95-2.12
Pt  0.0000  0.0000  0.0000  6 O 1.95-2.12
O  0.1027  0.8973  0.2500  2 Pt 1.95
O  0.8973  0.1027  0.7500  2 Pt 1.95
O  0.8943  0.3238  0.1343  1 B 1.48
O  0.1057  0.6762  0.8657  1 B 1.48
O  0.6762  0.1057  0.3657  1 B 1.48
O  0.3238  0.8943  0.6343  1 B 1.48
O  0.7515  0.5794  0.4196  1 B 1.56
O  0.2485  0.4206  0.5804  1 B 1.56
O  0.4206  0.2485  0.0804  1 B 1.56
O  0.5794  0.7515  0.9196  1 B 1.56